# 1
VASP calculation (GGA-PBEsol) on a relaxed structure of LiSn2P4H3O16.

Results
Its space-group type is P1 (1). The density of states at the Fermi level comes out at 0.00 states/eV/cell. For the total DFT energy (no corrections), the calculation gives -6.81 eV/atom. Its total magnetization is 0.00 μB/f.u.

Cell lengths 4.8969, 7.4296, 8.1060 Å; angles 89.99, 91.79, 104.75 degrees
Closest atoms and distances in Å follow each position.
Element x y z (fractional)
Li  0.9030  0.3299  0.3528  4 O 1.92-2.04
Sn  0.0085  0.5057  0.9983  6 O 2.02-2.09
Sn  0.4911  0.9863  0.5018  6 O 2.00-2.08
P  0.1426  0.2629  0.6580  4 O 1.50-1.60
P  0.3747  0.2258  0.1478  4 O 1.50-1.59
P  0.6304  0.7640  0.8460  4 O 1.51-1.59
P  0.8588  0.7317  0.3387  4 O 1.51-1.58
H  0.3239  0.5775  0.6132  1 O 1.04
H  0.5617  0.4936  0.4690  1 O 1.02
H  0.0069  0.0053  0.9842  2 O 1.17-1.22
O  0.0904  0.8466  0.4531  1 P 1.52
O  0.0707  0.3203  0.8258  1 P 1.50
O  0.1774  0.3609  0.1787  1 P 1.59
O  0.2757  0.4474  0.5553  1 H 1.04
O  0.3941  0.6770  0.9636  1 P 1.53
O  0.4881  0.7744  0.6686  1 H 1.54, 1 P 1.59
O  0.2128  0.0460  0.0675  1 H 1.17
O  0.3575  0.1458  0.6710  1 P 1.53
O  0.6154  0.8276  0.3281  1 P 1.54
O  0.7933  0.9579  0.8959  1 H 1.22
O  0.4913  0.1856  0.3225  1 P 1.57
O  0.6282  0.3303  0.0503  1 P 1.53
O  0.7570  0.5343  0.4208  1 H 1.02
O  0.8194  0.6269  0.8207  1 P 1.56
O  0.9583  0.6948  0.1699  1 P 1.51
O  0.8888  0.1663  0.5438  1 P 1.55


# 2
VASP calculation (GGA-PBEsol) on a relaxed structure of Mg2Tc3.

Results
The value obtained for the calculated formation energy is 0.321 eV per atom. Its space-group type is Immm (71). The density of states at the Fermi level comes out at 4.37 states/eV/cell. For the total DFT energy (no corrections), the calculation gives -7.13 eV/atom. Its total magnetization is 0.00 μB/f.u. As for the excess energy over the best structure of this formula in the dataset: 136 meV per atom.

Cell lengths 2.7172, 4.2011, 7.0014 Å; angles 107.46, 101.19, 90.00 degrees
Closest atoms and distances in Å follow each position.
Element x y z (fractional)
Mg  0.5995  0.5995  0.1990  9 Tc 2.58-2.84, 3 Mg 2.60-2.72
Mg  0.4005  0.4005  0.8010  9 Tc 2.58-2.84, 3 Mg 2.60-2.72
Tc  0.0000  0.0000  0.0000  4 Tc 2.65-2.72, 8 Mg 2.82
Tc  0.7970  0.7970  0.5940  5 Mg 2.58-2.84, 7 Tc 2.65-2.79
Tc  0.2030  0.2030  0.4060  5 Mg 2.58-2.84, 7 Tc 2.65-2.79


# 3
VASP calculation (GGA-PBEsol) on a relaxed structure of TaTeN2.

Results
Its formation energy from raw total energies is -0.08 eV per atom. Its space-group type is I-42d (122). The density of states at the Fermi level comes out at 5.05 states/eV/cell. For the total DFT energy (no corrections), the calculation gives -8.36 eV/atom. Its total magnetization is 0.00 μB/f.u.

Cell lengths 5.4860, 6.0104, 5.4860 Å; angles 62.85, 90.00, 117.15 degrees
Closest atoms and distances in Å follow each position.
Element x y z (fractional)
N  0.7410  0.7500  0.3750  2 Ta 1.93
N  0.0090  0.7500  0.8750  2 Ta 1.93
N  0.8750  0.2500  0.7410  2 Ta 1.93
N  0.3750  0.2500  0.0090  2 Ta 1.93
Te  0.2500  0.5000  0.2500  4 N 2.69
Te  0.5000  0.0000  0.5000  4 N 2.69
Ta  0.7500  0.5000  0.7500  4 N 1.93
Ta  0.0000  0.0000  0.0000  4 N 1.93


# 4
VASP calculation (GGA-PBEsol) on a relaxed structure of Ca8Mn3N9.

Results
Its formation energy from raw total energies is -0.95 eV per atom. Its space-group type is P2_1/c (14). The density of states at the Fermi level comes out at 25.50 states/eV/cell. For the total DFT energy (no corrections), the calculation gives -7.10 eV/atom. Its total magnetization is 4.01 μB/f.u.

Cell lengths 7.1057, 9.9513, 17.1934 Å; angles 90.00, 97.16, 90.00 degrees
Closest atoms and distances in Å follow each position.
Element x y z (fractional)
Ca  0.5579  0.1274  0.0761  5 N 2.38-2.64
Ca  0.9421  0.6274  0.4239  5 N 2.38-2.64
Ca  0.4421  0.8726  0.9239  5 N 2.38-2.64
Ca  0.0579  0.3726  0.5761  5 N 2.38-2.64
Ca  0.0589  0.8742  0.5815  5 N 2.46-2.55
Ca  0.4411  0.3742  0.9185  5 N 2.46-2.55
Ca  0.9411  0.1258  0.4185  5 N 2.46-2.55
Ca  0.5589  0.6258  0.0815  5 N 2.46-2.55
Ca  0.9928  0.1259  0.7176  5 N 2.41-2.65
Ca  0.5072  0.6259  0.7824  5 N 2.41-2.65
Ca  0.0072  0.8741  0.2824  5 N 2.41-2.65
Ca  0.4928  0.3741  0.2176  5 N 2.41-2.65
Ca  0.9810  0.6353  0.7301  6 N 2.43-2.65
Ca  0.5190  0.1353  0.7699  6 N 2.43-2.65
Ca  0.0190  0.3647  0.2699  6 N 2.43-2.65
Ca  0.4810  0.8647  0.2301  6 N 2.43-2.65
Ca  0.1520  0.6194  0.9304  7 N 2.46-2.75
Ca  0.3480  0.1194  0.5696  7 N 2.46-2.75
Ca  0.8480  0.3806  0.0696  7 N 2.46-2.75
Ca  0.6520  0.8806  0.4304  7 N 2.46-2.75
Ca  0.9299  0.8798  0.8545  5 N 2.44-2.65
Ca  0.5701  0.3798  0.6455  5 N 2.44-2.65
Ca  0.0701  0.1202  0.1455  5 N 2.44-2.65
Ca  0.4299  0.6202  0.3545  5 N 2.44-2.65
Ca  0.6307  0.8803  0.6455  4 N 2.35-2.57
Ca  0.8693  0.3803  0.8545  4 N 2.35-2.57
Ca  0.3693  0.1197  0.3545  4 N 2.35-2.57
Ca  0.1307  0.6197  0.1455  4 N 2.35-2.57
Ca  0.3586  0.6291  0.5511  5 N 2.45-2.55
Ca  0.1414  0.1291  0.9489  5 N 2.45-2.55
Ca  0.6414  0.3709  0.4489  5 N 2.45-2.55
Ca  0.8586  0.8709  0.0511  5 N 2.45-2.55
Mn  0.2054  0.8763  0.7456  3 N 1.67-1.75
Mn  0.2947  0.3763  0.7544  3 N 1.67-1.75
Mn  0.7946  0.1237  0.2544  3 N 1.67-1.75
Mn  0.7054  0.6237  0.2456  3 N 1.67-1.75
Mn  0.7628  0.1326  0.5617  3 N 1.69-1.73
Mn  0.7372  0.6326  0.9383  3 N 1.69-1.73
Mn  0.2372  0.8674  0.4383  3 N 1.69-1.73
Mn  0.2628  0.3674  0.0617  3 N 1.69-1.73
Mn  0.7725  0.6182  0.5697  3 N 1.72-1.76
Mn  0.7275  0.1182  0.9303  3 N 1.72-1.76
Mn  0.2275  0.3818  0.4303  3 N 1.72-1.76
Mn  0.2725  0.8818  0.0697  3 N 1.72-1.76
N  0.0164  0.6217  0.5784  1 Mn 1.72
N  0.4836  0.1217  0.9216  1 Mn 1.72
N  0.9836  0.3783  0.4216  1 Mn 1.72
N  0.5164  0.8783  0.0784  1 Mn 1.72
N  0.2453  0.7661  0.8196  1 Mn 1.68
N  0.2547  0.2661  0.6804  1 Mn 1.68
N  0.7547  0.2339  0.1804  1 Mn 1.68
N  0.7453  0.7339  0.3196  1 Mn 1.68
N  0.1477  0.8830  0.9776  1 Mn 1.72
N  0.3523  0.3830  0.5224  1 Mn 1.72
N  0.8523  0.1170  0.0224  1 Mn 1.72
N  0.6477  0.6170  0.4776  1 Mn 1.72
N  0.0007  0.1196  0.5641  1 Mn 1.69
N  0.4993  0.6196  0.9359  1 Mn 1.69
N  0.9993  0.8804  0.4359  1 Mn 1.69
N  0.5007  0.3804  0.0641  1 Mn 1.69
N  0.9615  0.8846  0.7137  1 Mn 1.75
N  0.5385  0.3846  0.7863  1 Mn 1.75
N  0.0385  0.1154  0.2863  1 Mn 1.75
N  0.4615  0.6154  0.2137  1 Mn 1.75
N  0.6460  0.6264  0.6511  1 Mn 1.76
N  0.8540  0.1264  0.8489  1 Mn 1.76
N  0.3540  0.3736  0.3489  1 Mn 1.76
N  0.1460  0.8736  0.1511  1 Mn 1.76
N  0.8303  0.6448  0.8502  1 Mn 1.73
N  0.6697  0.1448  0.6498  1 Mn 1.73
N  0.1697  0.3552  0.1498  1 Mn 1.73
N  0.3303  0.8552  0.3502  1 Mn 1.73
N  0.3753  0.8712  0.5259  1 Mn 1.69
N  0.1247  0.3712  0.9741  1 Mn 1.69
N  0.6247  0.1288  0.4741  1 Mn 1.69
N  0.8753  0.6288  0.0259  1 Mn 1.69
N  0.3532  0.9567  0.6932  1 Mn 1.67
N  0.1468  0.4567  0.8068  1 Mn 1.67
N  0.6468  0.0433  0.3068  1 Mn 1.67
N  0.8532  0.5433  0.1932  1 Mn 1.67


# 5
VASP calculation (GGA-PBEsol) on a relaxed structure of HoSI.

Results
Its formation energy from raw total energies is -1.80 eV per atom. Its space-group type is Pmmn (59). The density of states at the Fermi level comes out at 0.00 states/eV/cell. For the total DFT energy (no corrections), the calculation gives -5.50 eV/atom. Its total magnetization is 0.00 μB/f.u.

Cell lengths 4.0842, 5.2796, 9.3771 Å; angles 90.00, 90.00, 90.00 degrees
Closest atoms and distances in Å follow each position.
Element x y z (fractional)
I  0.5000  0.0000  0.3512  2 Ho 3.00
I  0.0000  0.5000  0.6488  2 Ho 3.00
S  0.5000  0.0000  0.9298  4 Ho 2.68-2.69
S  0.0000  0.5000  0.0702  4 Ho 2.68-2.69
Ho  0.5000  0.5000  0.8829  4 S 2.68-2.69
Ho  0.0000  0.0000  0.1171  4 S 2.68-2.69


# 6
VASP calculation (GGA-PBEsol) on a relaxed structure of Ca2SnS4.

Results
Its formation energy from raw total energies is -1.34 eV per atom. Its space-group type is Pbca (61). For the total DFT energy (no corrections), the calculation gives -5.06 eV/atom. Its total magnetization is 0.00 μB/f.u. As for the excess energy over the best structure of this formula in the dataset: 79 meV per atom.

Cell lengths 6.7597, 7.2870, 13.2723 Å; angles 90.00, 90.00, 90.00 degrees
Closest atoms and distances in Å follow each position.
Element x y z (fractional)
Ca  0.9915  0.8989  0.8560  6 S 2.74-2.97
Ca  0.4915  0.6011  0.1440  6 S 2.74-2.97
Ca  0.0085  0.3989  0.6440  6 S 2.74-2.97
Ca  0.5085  0.1011  0.3560  6 S 2.74-2.97
Ca  0.0085  0.1011  0.1440  6 S 2.74-2.97
Ca  0.5085  0.3989  0.8560  6 S 2.74-2.97
Ca  0.9915  0.6011  0.3560  6 S 2.74-2.97
Ca  0.4915  0.8989  0.6440  6 S 2.74-2.97
Sn  0.0000  0.0000  0.5000  6 S 2.47-2.65
Sn  0.5000  0.5000  0.5000  6 S 2.47-2.65
Sn  0.0000  0.5000  0.0000  6 S 2.47-2.65
Sn  0.5000  0.0000  0.0000  6 S 2.47-2.65
S  0.8126  0.6957  0.5539  2 Sn 2.65, 2 Ca 2.80-2.89
S  0.3126  0.8043  0.4461  2 Sn 2.65, 2 Ca 2.80-2.89
S  0.1874  0.1957  0.9461  2 Sn 2.65, 2 Ca 2.80-2.89
S  0.6874  0.3043  0.0539  2 Sn 2.65, 2 Ca 2.80-2.89
S  0.1874  0.3043  0.4461  2 Sn 2.65, 2 Ca 2.80-2.89
S  0.6874  0.1957  0.5539  2 Sn 2.65, 2 Ca 2.80-2.89
S  0.8126  0.8043  0.0539  2 Sn 2.65, 2 Ca 2.80-2.89
S  0.3126  0.6957  0.9461  2 Sn 2.65, 2 Ca 2.80-2.89
S  0.1205  0.0406  0.6743  1 Sn 2.47, 3 Ca 2.74-2.76
S  0.6205  0.4594  0.3257  1 Sn 2.47, 3 Ca 2.74-2.76
S  0.8795  0.5406  0.8257  1 Sn 2.47, 3 Ca 2.74-2.76
S  0.3795  0.9594  0.1743  1 Sn 2.47, 3 Ca 2.74-2.76
S  0.8795  0.9594  0.3257  1 Sn 2.47, 3 Ca 2.74-2.76
S  0.3795  0.5406  0.6743  1 Sn 2.47, 3 Ca 2.74-2.76
S  0.1205  0.4594  0.1743  1 Sn 2.47, 3 Ca 2.74-2.76
S  0.6205  0.0406  0.8257  1 Sn 2.47, 3 Ca 2.74-2.76